No. 1
Compound: CsMg3Cd
Source: the Alexandria database
Functional: PBE-GGA
Structure: relaxed

Summary:
* Fermi-level density of states: 2.793 states/eV/f.u.
* energy relative to the lowest polymorph listed for this composition: 0.000 eV per atom
* E_form: 5.53 kcal/mol of atoms
* DFT total energy: -5.4 eV/cell

Cell lengths 5.5906, 5.5906, 5.5906 Å; angles 90.00, 90.00, 90.00 degrees
With the nearest neighbours (Å) after each atom.
Fractional positions:
Cs 0.0000 0.0000 0.0000  12 Mg 3.95
Mg 0.0000 0.5000 0.5000  2 Cd 2.80
Mg 0.5000 0.0000 0.5000  2 Cd 2.80
Mg 0.5000 0.5000 0.0000  2 Cd 2.80
Cd 0.5000 0.5000 0.5000  6 Mg 2.80

No. 2
Compound: Ag2BIrW
Source: the Alexandria database
Functional: PBE-GGA
Structure: relaxed

Summary:
* Fermi-level density of states: 5.253 states/eV/f.u.
* E_form: 51.92 kcal/mol of atoms
* DFT total energy: -22.9 eV/cell

Cell lengths 5.1138, 5.1138, 4.6810 Å; angles 90.00, 90.00, 90.00 degrees
With the nearest neighbours (Å) after each atom.
Fractional positions:
Ag 0.0000 0.5000 0.0000  2 Ir 2.56
Ag 0.5000 0.0000 0.0000  2 Ir 2.56
B 0.0000 0.0000 0.5000  8 Ag 3.47, 4 W 3.62
Ir 0.5000 0.5000 0.0000  2 W 2.34, 4 Ag 2.56
W 0.5000 0.5000 0.5000  2 Ir 2.34

No. 3
Compound: Rb2Sb2Au3
Source: the Alexandria database
Functional: PBE-GGA
Structure: relaxed

Summary:
* Fermi-level density of states: 1.514 states/eV/f.u.
* ΔE_f (raw): -0.265 eV/atom
* energy relative to the lowest polymorph listed for this composition: 0.148 eV per atom
* DFT total energy: -21.9 eV/cell

Cell lengths 7.0815, 7.0815, 7.9077 Å; angles 118.06, 118.06, 41.15 degrees
With the nearest neighbours (Å) after each atom.
Fractional positions:
Rb 0.1373 0.1373 0.2582  5 Au 3.68-4.08, 5 Sb 3.68-4.10, 1 Rb 3.87
Rb 0.8627 0.8627 0.7418  5 Au 3.68-4.08, 5 Sb 3.68-4.10, 1 Rb 3.87
Sb 0.1399 0.1399 0.7414  5 Au 2.79-3.12
Sb 0.8601 0.8601 0.2586  5 Au 2.79-3.12
Au 0.3519 0.3519 0.0937  3 Sb 2.79, 1 Au 2.80
Au 0.5000 0.5000 0.5000  2 Au 2.80, 4 Sb 3.12
Au 0.6481 0.6481 0.9063  3 Sb 2.79, 1 Au 2.80

No. 4
Compound: Co4B2Mo
Source: the Alexandria database
Functional: PBE-GGA
Structure: relaxed

Summary:
* Fermi-level density of states: 7.095 states/eV/f.u.
* E_form: -3.32 kcal/mol of atoms
* DFT total energy: -53.6 eV/cell

Cell lengths 6.3184, 6.3184, 3.3409 Å; angles 90.00, 90.00, 149.29 degrees
With the nearest neighbours (Å) after each atom.
Fractional positions:
Co 0.1750 0.8250 0.0000  2 B 2.08
Co 0.3237 0.6763 0.5000  2 B 2.09
Co 0.6763 0.3237 0.5000  2 B 2.09
Co 0.8250 0.1750 0.0000  2 B 2.08
B 0.4271 0.5729 0.0000  1 B 1.78
B 0.5729 0.4271 0.0000  1 B 1.78
Mo 0.0000 0.0000 0.5000  8 B 2.53, 8 Co 2.71-2.72

No. 5
Compound: Sc3TlPd
Source: the Alexandria database
Functional: PBE-GGA
Structure: relaxed

Summary:
* Fermi-level density of states: 4.185 states/eV/f.u.
* energy relative to the lowest polymorph listed for this composition: 0.000 eV per atom
* E_form: -7.75 kcal/mol of atoms
* DFT total energy: -56.5 eV/cell

Cell lengths 7.1948, 7.1948, 5.2052 Å; angles 90.00, 90.00, 120.00 degrees
With the nearest neighbours (Å) after each atom.
Fractional positions:
Sc 0.1874 0.3748 0.2500  2 Pd 2.67
Sc 0.1874 0.8126 0.2500  2 Pd 2.67
Sc 0.3748 0.1874 0.7500  2 Pd 2.67
Sc 0.6252 0.8126 0.2500  2 Pd 2.67
Sc 0.8126 0.1874 0.7500  2 Pd 2.67
Sc 0.8126 0.6252 0.7500  2 Pd 2.67
Tl 0.3333 0.6667 0.7500  6 Sc 3.17
Tl 0.6667 0.3333 0.2500  6 Sc 3.17
Pd 0.0000 0.0000 0.0000  2 Pd 2.60, 6 Sc 2.67
Pd 0.0000 0.0000 0.5000  2 Pd 2.60, 6 Sc 2.67

No. 6
Compound: CuPbN3
Source: the Alexandria database
Functional: PBE-GGA
Structure: relaxed

Summary:
* Fermi-level density of states: 5.946 states/eV/f.u.
* ΔE_f (raw): 1.765 eV/atom
* DFT total energy: -24.0 eV/cell

Cell lengths 3.8703, 3.8703, 3.8703 Å; angles 90.00, 90.00, 90.00 degrees
With the nearest neighbours (Å) after each atom.
Fractional positions:
Cu 0.0000 0.0000 0.0000  6 N 1.94
Pb 0.5000 0.5000 0.5000  12 N 2.74
N 0.0000 0.0000 0.5000  2 Cu 1.94
N 0.0000 0.5000 0.0000  2 Cu 1.94
N 0.5000 0.0000 0.0000  2 Cu 1.94

No. 7
Compound: ThZrTl2
Source: the Alexandria database
Functional: PBE-GGA
Structure: relaxed

Summary:
* Fermi-level density of states: 4.502 states/eV/f.u.
* energy relative to the lowest polymorph listed for this composition: 0.107 eV per atom
* E_form: 0.74 kcal/mol of atoms
* DFT total energy: -20.6 eV/cell

Cell lengths 5.3275, 5.3275, 5.3275 Å; angles 60.00, 60.00, 60.00 degrees
With the nearest neighbours (Å) after each atom.
Fractional positions:
Th 0.0000 0.0000 0.0000  8 Tl 3.26
Zr 0.5000 0.5000 0.5000  8 Tl 3.26
Tl 0.2500 0.2500 0.2500  4 Zr 3.26, 4 Th 3.26
Tl 0.7500 0.7500 0.7500  4 Zr 3.26, 4 Th 3.26

No. 8
Compound: TiInGa
Source: the Alexandria database
Functional: PBE-GGA
Structure: relaxed

Summary:
* Fermi-level density of states: 1.887 states/eV/f.u.
* energy relative to the lowest polymorph listed for this composition: 0.000 eV per atom
* E_form: -4.70 kcal/mol of atoms
* DFT total energy: -28.5 eV/cell

Cell lengths 2.9796, 4.3923, 9.2760 Å; angles 90.00, 92.53, 90.00 degrees
With the nearest neighbours (Å) after each atom.
Fractional positions:
Ti 0.0532 0.2500 0.3985  5 Ga 2.67-2.76, 4 Ti 2.92-2.98, 1 In 2.98
Ti 0.9468 0.7500 0.6015  5 Ga 2.67-2.76, 4 Ti 2.92-2.98, 1 In 2.98
In 0.4976 0.2500 0.1174  2 Ti 2.98-3.03, 4 In 2.98-3.09, 2 Ga 3.00
In 0.5024 0.7500 0.8826  2 Ti 2.98-3.03, 4 In 2.98-3.09, 2 Ga 3.00
Ga 0.4837 0.2500 0.6616  5 Ti 2.67-2.76, 2 Ga 2.98
Ga 0.5163 0.7500 0.3384  5 Ti 2.67-2.76, 2 Ga 2.98